Computed, not measured: crystalline Cr5GaSe8 at its relaxed geometry at the PBE-GGA level of DFT.

Values from the calculation:
SG: F-43m (216)
Uncorrected formation energy, eV/atom: -0.5108
Final energy, Ha/atom: -0.2262
Size of the total moment, μB/atom: 1.19

a = 7.529 Å, b = 7.529 Å, c = 7.529 Å
α = 60.00°, β = 60.00°, γ = 60.00°
Each line ends with the local moment (μB).
Fractional positions:
Se 0.386 0.843 0.386  -0.07
Se 0.843 0.386 0.386  -0.07
Se 0.865 0.404 0.865  -0.14
Cr 0.117 0.628 0.628  3.13
Cr 0.628 0.117 0.628  3.13
Cr 0.628 0.628 0.117  3.13
Ga 0.250 0.250 0.250  0.05
Se 0.865 0.865 0.404  -0.14
Cr 0.000 0.000 0.000  3.60
Se 0.386 0.386 0.386  -0.07
Se 0.865 0.865 0.865  -0.14
Se 0.386 0.386 0.843  -0.07
Cr 0.628 0.628 0.628  3.13
Se 0.404 0.865 0.865  -0.14

***

Computed, not measured: crystalline CrGaSe3 at its relaxed geometry at the PBE-GGA level of DFT.

Values from the calculation:
SG: Pnma (62)
Uncorrected formation energy, eV/atom: -0.5799
Final energy, Ha/atom: -0.1911
Size of the total moment, μB/atom: 0.60

a = 3.790 Å, b = 10.339 Å, c = 12.574 Å
α = 90.00°, β = 90.00°, γ = 90.00°
Each line ends with the local moment (μB).
Fractional positions:
Se 0.750 0.237 0.397  -0.10
Se 0.750 0.589 0.817  -0.04
Se 0.250 0.411 0.183  -0.04
Se 0.750 0.737 0.103  -0.10
Ga 0.750 0.266 0.207  0.03
Se 0.250 0.263 0.897  -0.10
Cr 0.750 0.097 0.890  2.98
Se 0.750 0.071 0.094  -0.07
Cr 0.250 0.903 0.110  2.98
Se 0.250 0.929 0.906  -0.07
Se 0.250 0.429 0.594  -0.07
Cr 0.250 0.403 0.390  2.98
Se 0.750 0.089 0.683  -0.04
Ga 0.750 0.766 0.293  0.03
Ga 0.250 0.234 0.707  0.03
Se 0.250 0.763 0.603  -0.10
Cr 0.750 0.597 0.610  2.98
Se 0.250 0.911 0.317  -0.04
Ga 0.250 0.734 0.793  0.03
Se 0.750 0.571 0.406  -0.07

***

Computed, not measured: crystalline CrGaSi at its relaxed geometry at the PBE-GGA level of DFT.

Values from the calculation:
SG: Pmmm (47)
Uncorrected formation energy, eV/atom: -0.0665
Final energy, Ha/atom: -0.2238
Size of the total moment, μB/atom: 0.00

a = 4.079 Å, b = 2.564 Å, c = 4.387 Å
α = 90.00°, β = 90.00°, γ = 90.00°
Fractional positions:
Cr 0.000 0.500 0.500
Ga 0.000 0.000 0.000
Si 0.500 0.000 0.500

***

Computed, not measured: crystalline CrGaSi at its relaxed geometry at the PBE-GGA level of DFT.

Values from the calculation:
SG: Cm (8)
Uncorrected formation energy, eV/atom: 0.0316
Final energy, Ha/atom: -0.2202
Size of the total moment, μB/atom: 0.30

a = 2.757 Å, b = 2.758 Å, c = 6.203 Å
α = 82.98°, β = 82.98°, γ = 68.00°
Each line ends with the local moment (μB).
Fractional positions:
Ga 0.387 0.357 0.285  -0.03
Cr 0.817 0.787 0.965  0.93
Si 0.243 0.213 0.682  -0.01

***

Computed, not measured: crystalline CrGaSi2 at its relaxed geometry at the PBE-GGA level of DFT.

Values from the calculation:
SG: I-42d (122)
Uncorrected formation energy, eV/atom: 0.4313
Final energy, Ha/atom: -0.2000
Size of the total moment, μB/atom: 0.71

a = 7.077 Å, b = 7.077 Å, c = 5.620 Å
α = 50.98°, β = 50.98°, γ = 90.00°
Each line ends with the local moment (μB).
Fractional positions:
Si 0.132 0.625 0.250  -0.04
Si 0.375 0.382 0.750  -0.04
Cr 0.250 0.750 0.500  2.78
Ga 0.000 0.000 0.000  -0.03
Si 0.618 0.125 0.250  -0.04
Ga 0.750 0.250 0.500  -0.03
Cr 0.500 0.500 0.000  2.78
Si 0.875 0.868 0.750  -0.04

***

Computed, not measured: crystalline CrGaSi at its relaxed geometry at the PBE-GGA level of DFT.

Values from the calculation:
SG: I4mm (107)
Uncorrected formation energy, eV/atom: -0.0623
Final energy, Ha/atom: -0.2237
Size of the total moment, μB/atom: 0.20

a = 3.105 Å, b = 3.105 Å, c = 8.186 Å
α = 90.00°, β = 90.00°, γ = 90.00°
Each line ends with the local moment (μB).
Fractional positions:
Ga 0.500 0.500 0.986  -0.01
Si 0.000 0.000 0.168  -0.02
Cr 0.500 0.500 0.311  0.60
Si 0.500 0.500 0.668  -0.02
Ga 0.000 0.000 0.486  -0.01
Cr 0.000 0.000 0.811  0.60

***

Computed, not measured: crystalline CrGa2Si2 at its relaxed geometry at the PBE-GGA level of DFT.

Values from the calculation:
SG: P4/mbm (127)
Uncorrected formation energy, eV/atom: 0.2385
Final energy, Ha/atom: -0.1862
Size of the total moment, μB/atom: 0.00

a = 6.340 Å, b = 6.340 Å, c = 3.700 Å
α = 90.00°, β = 90.00°, γ = 90.00°
Fractional positions:
Ga 0.175 0.675 0.500
Cr 0.000 0.000 0.000
Si 0.864 0.636 0.000
Ga 0.825 0.325 0.500
Cr 0.500 0.500 0.000
Si 0.364 0.864 0.000
Si 0.136 0.364 0.000
Ga 0.675 0.825 0.500
Si 0.636 0.136 0.000
Ga 0.325 0.175 0.500

***

Computed, not measured: crystalline CrGaSi at its relaxed geometry at the PBE-GGA level of DFT.

Values from the calculation:
SG: I-4m2 (119)
Uncorrected formation energy, eV/atom: 0.1576
Final energy, Ha/atom: -0.2156
Size of the total moment, μB/atom: 0.37

a = 3.551 Å, b = 3.551 Å, c = 7.341 Å
α = 90.00°, β = 90.00°, γ = 90.00°
Each line ends with the local moment (μB).
Fractional positions:
Si 0.000 0.000 0.000  -0.06
Si 0.500 0.500 0.500  -0.06
Ga 0.500 0.500 0.000  -0.06
Cr 0.500 0.000 0.750  1.17
Ga 0.000 0.000 0.500  -0.06
Cr 0.000 0.500 0.250  1.17

***

Computed, not measured: crystalline CrGaSi3 at its relaxed geometry at the PBE-GGA level of DFT.

Values from the calculation:
SG: Pm-3m (221)
Uncorrected formation energy, eV/atom: 0.3624
Final energy, Ha/atom: -0.1992
Size of the total moment, μB/atom: 0.00

a = 4.504 Å, b = 4.504 Å, c = 4.504 Å
α = 90.00°, β = 90.00°, γ = 90.00°
Fractional positions:
Cr 0.000 0.000 0.000
Ga 0.500 0.500 0.500
Si 0.500 0.000 0.000
Si 0.000 0.500 0.000
Si 0.000 0.000 0.500

***

Computed, not measured: crystalline CrGaSi at its relaxed geometry at the PBE-GGA level of DFT.

Values from the calculation:
SG: P4mm (99)
Uncorrected formation energy, eV/atom: -0.0609
Final energy, Ha/atom: -0.2236
Size of the total moment, μB/atom: 0.41

a = 2.743 Å, b = 2.743 Å, c = 5.785 Å
α = 90.00°, β = 90.00°, γ = 90.00°
Each line ends with the local moment (μB).
Fractional positions:
Si 0.000 0.500 0.719  -0.03
Cr 0.500 0.000 0.449  1.26
Ga 0.000 0.500 0.143  -0.04

***

Computed, not measured: crystalline CrGaSi at its relaxed geometry at the PBE-GGA level of DFT.

Values from the calculation:
SG: P3m1 (156)
Uncorrected formation energy, eV/atom: 0.0334
Final energy, Ha/atom: -0.2202
Size of the total moment, μB/atom: 0.46

a = 2.829 Å, b = 2.828 Å, c = 6.267 Å
α = 89.99°, β = 89.98°, γ = 59.99°
Each line ends with the local moment (μB).
Fractional positions:
Ga 0.860 0.201 0.856  -0.03
Cr 0.527 0.868 0.177  1.38
Si 0.860 0.202 0.464  -0.01

***

Computed, not measured: crystalline Cr2GaSiSn at its relaxed geometry at the PBE-GGA level of DFT.

Values from the calculation:
SG: P4/mmm (123)
Uncorrected formation energy, eV/atom: 0.8947
Final energy, Ha/atom: -0.2001
Size of the total moment, μB/atom: 1.44

a = 4.793 Å, b = 4.591 Å, c = 4.793 Å
α = 90.00°, β = 90.00°, γ = 90.00°
Each line ends with the local moment (μB).
Fractional positions:
Ga 0.000 0.000 0.000  -0.08
Cr 0.500 0.000 0.000  3.34
Sn 0.500 0.500 0.500  -0.13
Si 0.000 0.500 0.000  0.00
Cr 0.000 0.000 0.500  3.52